The following is a DFT calculation (PBE) of a geometry-optimized Li2SnI structure.

Output
Polymorph energy (0 for the lowest one): 69 meV/atom
Total DFT energy (no corrections): -10.695 eV/cell

CIF file:
```
data_Li2SnI
_chemical_formula_sum 'Li2 Sn1 I1'
_space_group_name_H-M_alt 'P 4/m m m'
_space_group_IT_number 123
_space_group_name_Hall '-P 4 2'
_cell_length_a 5.102
_cell_length_b 5.102
_cell_length_c 3.767
_cell_angle_alpha 90.00
_cell_angle_beta 90.00
_cell_angle_gamma 90.00
loop_
_atom_site_label
_atom_site_type_symbol
_atom_site_fract_x
_atom_site_fract_y
_atom_site_fract_z
Li1 Li 0.000 0.500 0.000
Sn1 Sn 0.000 0.000 0.500
I1 I 0.500 0.500 0.500
```

***

The following is a DFT calculation (PBE) of a geometry-optimized Li5Sn3I12 structure.

Output
Total DFT energy (no corrections): -436.163 eV/cell

CIF file:
```
data_Li5Sn3I12
_chemical_formula_sum 'Li40 Sn24 I96'
_space_group_name_H-M_alt 'I a -3 d'
_space_group_IT_number 230
_space_group_name_Hall '-I 4bd 2c 3'
_cell_length_a 17.838
_cell_length_b 17.838
_cell_length_c 17.838
_cell_angle_alpha 90.00
_cell_angle_beta 90.00
_cell_angle_gamma 90.00
loop_
_atom_site_label
_atom_site_type_symbol
_atom_site_fract_x
_atom_site_fract_y
_atom_site_fract_z
Li1 Li 0.000 0.000 0.000
Li2 Li 0.000 0.250 0.375
Sn1 Sn 0.000 0.250 0.125
I1 I 0.029 0.063 0.652
```

***

The following is a DFT calculation (PBE) of a geometry-optimized LiSnI4 structure.

Output
Polymorph energy (0 for the lowest one): 23 meV/atom
Total DFT energy (no corrections): -62.929 eV/cell

CIF file:
```
data_LiSnI4
_chemical_formula_sum 'Li4 Sn4 I16'
_space_group_name_H-M_alt 'C 1 2/c 1'
_space_group_IT_number 15
_cell_length_a 8.395
_cell_length_b 17.978
_cell_length_c 7.597
_cell_angle_alpha 90.00
_cell_angle_beta 122.76
_cell_angle_gamma 90.00
loop_
_space_group_symop_operation_xyz
'x,y,z'
'-x,-y,-z'
'-x,y,-z+1/2'
'x,-y,z+1/2'
'x+1/2,y+1/2,z'
'-x+1/2,-y+1/2,-z'
'-x+1/2,y+1/2,-z+1/2'
'x+1/2,-y+1/2,z+1/2'
loop_
_atom_site_label
_atom_site_type_symbol
_atom_site_fract_x
_atom_site_fract_y
_atom_site_fract_z
Li1 Li 0.000 0.067 0.250
Sn1 Sn 0.000 0.428 0.750
I1 I 0.239 0.177 0.253
I2 I 0.242 0.055 0.763
```

***

The following is a DFT calculation (PBE) of a geometry-optimized LiSnI5 structure.

Output
Total DFT energy (no corrections): -34.985 eV/cell

CIF file:
```
data_LiSnI5
_chemical_formula_sum 'Li2 Sn2 I10'
_space_group_name_H-M_alt 'P -1'
_space_group_IT_number 2
_cell_length_a 8.780
_cell_length_b 8.797
_cell_length_c 10.214
_cell_angle_alpha 106.22
_cell_angle_beta 106.29
_cell_angle_gamma 103.61
loop_
_space_group_symop_operation_xyz
'x,y,z'
'-x,-y,-z'
loop_
_atom_site_label
_atom_site_type_symbol
_atom_site_fract_x
_atom_site_fract_y
_atom_site_fract_z
Li1 Li 0.000 0.000 0.000
Li2 Li 0.000 0.000 0.500
Sn1 Sn 0.345 0.655 0.250
I1 I 0.071 0.931 0.751
I2 I 0.118 0.654 0.387
I3 I 0.252 0.343 0.034
I4 I 0.343 0.251 0.533
I5 I 0.345 0.880 0.112
```

***

The following is a DFT calculation (PBE) of a geometry-optimized LiSnI structure.

Output
Polymorph energy (0 for the lowest one): 330 meV/atom
Total DFT energy (no corrections): -8.298 eV/cell

CIF file:
```
data_LiSnI
_chemical_formula_sum 'Li1 Sn1 I1'
_space_group_name_H-M_alt 'P 3 m 1'
_space_group_IT_number 156
_cell_length_a 3.9262
_cell_length_b 3.9262
_cell_length_c 6.3734
_cell_angle_alpha 90.00
_cell_angle_beta 90.00
_cell_angle_gamma 120.00
loop_
_space_group_symop_operation_xyz
'x,y,z'
'-y,x-y,z'
'-x+y,-x,z'
'-y,-x,z'
'-x+y,y,z'
'x,x-y,z'
loop_
_atom_site_label
_atom_site_type_symbol
_atom_site_fract_x
_atom_site_fract_y
_atom_site_fract_z
Li1 Li 0.0000 0.0000 0.0000
Sn1 Sn 0.3333 0.6667 0.6588
I1 I 0.6667 0.3333 0.2354
```

***

The following is a DFT calculation (PBE) of a geometry-optimized Li2SnI structure.

Output
Polymorph energy (0 for the lowest one): 0 meV/atom
Total DFT energy (no corrections): -32.914 eV/cell

CIF file:
```
data_Li2SnI
_chemical_formula_sum 'Li6 Sn3 I3'
_space_group_name_H-M_alt 'R -3 m'
_space_group_IT_number 166
_space_group_name_Hall '-R 3 2"'
_cell_length_a 3.8093
_cell_length_b 3.8093
_cell_length_c 27.3082
_cell_angle_alpha 90.00
_cell_angle_beta 90.00
_cell_angle_gamma 120.00
loop_
_atom_site_label
_atom_site_type_symbol
_atom_site_fract_x
_atom_site_fract_y
_atom_site_fract_z
Li1 Li 0.0000 0.0000 0.1019
Sn1 Sn 0.0000 0.0000 0.0000
I1 I 0.0000 0.0000 0.5000
```

***

The following is a DFT calculation (PBE) of a geometry-optimized Li2SnI2 structure.

Output
Polymorph energy (0 for the lowest one): 0 meV/atom
Total DFT energy (no corrections): -26.121 eV/cell

CIF file:
```
data_Li2SnI2
_chemical_formula_sum 'Li4 Sn2 I4'
_space_group_name_H-M_alt 'P 4/m b m'
_space_group_IT_number 127
_space_group_name_Hall '-P 4 2ab'
_cell_length_a 8.382
_cell_length_b 8.382
_cell_length_c 3.864
_cell_angle_alpha 90.00
_cell_angle_beta 90.00
_cell_angle_gamma 90.00
loop_
_atom_site_label
_atom_site_type_symbol
_atom_site_fract_x
_atom_site_fract_y
_atom_site_fract_z
Li1 Li 0.149 0.351 0.000
Sn1 Sn 0.000 0.000 0.000
I1 I 0.166 0.666 0.500
```

***

The following is a DFT calculation (PBE) of a geometry-optimized Li2Sn3I8 structure.

Output
Total DFT energy (no corrections): -74.558 eV/cell

CIF file:
```
data_Li2Sn3I8
_chemical_formula_sum 'Li4 Sn6 I16'
_space_group_name_H-M_alt 'C 1 2/m 1'
_space_group_IT_number 12
_cell_length_a 15.434
_cell_length_b 9.239
_cell_length_c 7.939
_cell_angle_alpha 90.00
_cell_angle_beta 110.03
_cell_angle_gamma 90.00
loop_
_space_group_symop_operation_xyz
'x,y,z'
'-x,-y,-z'
'-x,y,-z'
'x,-y,z'
'x+1/2,y+1/2,z'
'-x+1/2,-y+1/2,-z'
'-x+1/2,y+1/2,-z'
'x+1/2,-y+1/2,z'
loop_
_atom_site_label
_atom_site_type_symbol
_atom_site_fract_x
_atom_site_fract_y
_atom_site_fract_z
Li1 Li 0.163 0.000 0.111
Sn1 Sn 0.000 0.240 0.500
Sn2 Sn 0.000 0.500 0.000
I1 I 0.126 0.256 0.254
I2 I 0.128 0.000 0.739
I3 I 0.130 0.500 0.756
```

***

The following is a DFT calculation (PBE) of a geometry-optimized LiSnI3 structure.

Output
Polymorph energy (0 for the lowest one): 2 meV/atom
Total DFT energy (no corrections): -28.884 eV/cell

CIF file:
```
data_LiSnI3
_chemical_formula_sum 'Li2 Sn2 I6'
_space_group_name_H-M_alt 'P 1 21/m 1'
_space_group_IT_number 11
_cell_length_a 8.019
_cell_length_b 4.643
_cell_length_c 10.989
_cell_angle_alpha 90.00
_cell_angle_beta 91.45
_cell_angle_gamma 90.00
loop_
_space_group_symop_operation_xyz
'x,y,z'
'-x,-y,-z'
'-x,y+1/2,-z'
'x,-y+1/2,z'
loop_
_atom_site_label
_atom_site_type_symbol
_atom_site_fract_x
_atom_site_fract_y
_atom_site_fract_z
Li1 Li 0.103 0.250 0.403
Sn1 Sn 0.422 0.250 0.828
I1 I 0.069 0.250 0.659
I2 I 0.262 0.750 0.000
I3 I 0.436 0.250 0.336
```

***

The following is a DFT calculation (PBE) of a geometry-optimized Li3Sn2I7 structure.

Output
Total DFT energy (no corrections): -137.579 eV/cell

CIF file:
```
data_Li3Sn2I7
_chemical_formula_sum 'Li12 Sn8 I28'
_space_group_name_H-M_alt 'C m c 21'
_space_group_IT_number 36
_cell_length_a 28.982
_cell_length_b 8.009
_cell_length_c 8.030
_cell_angle_alpha 90.00
_cell_angle_beta 90.00
_cell_angle_gamma 90.00
loop_
_space_group_symop_operation_xyz
'x,y,z'
'-x,-y,z+1/2'
'-x,y,z'
'x,-y,z+1/2'
'x+1/2,y+1/2,z'
'-x+1/2,-y+1/2,z+1/2'
'-x+1/2,y+1/2,z'
'x+1/2,-y+1/2,z+1/2'
loop_
_atom_site_label
_atom_site_type_symbol
_atom_site_fract_x
_atom_site_fract_y
_atom_site_fract_z
Li1 Li 0.000 0.202 0.000
Li2 Li 0.165 0.332 0.930
Sn1 Sn 0.105 0.233 0.504
I1 I 0.000 0.106 0.338
I2 I 0.072 0.400 0.858
I3 I 0.150 0.086 0.180
I4 I 0.198 0.387 0.596
```

***

The following is a DFT calculation (PBE) of a geometry-optimized LiSnI4 structure.

Output
Polymorph energy (0 for the lowest one): 0 meV/atom
Total DFT energy (no corrections): -31.742 eV/cell

CIF file:
```
data_LiSnI4
_chemical_formula_sum 'Li2 Sn2 I8'
_space_group_name_H-M_alt 'C 1 2/m 1'
_space_group_IT_number 12
_cell_length_a 16.841
_cell_length_b 4.305
_cell_length_c 7.376
_cell_angle_alpha 90.00
_cell_angle_beta 114.81
_cell_angle_gamma 90.00
loop_
_space_group_symop_operation_xyz
'x,y,z'
'-x,-y,-z'
'-x,y,-z'
'x,-y,z'
'x+1/2,y+1/2,z'
'-x+1/2,-y+1/2,-z'
'-x+1/2,y+1/2,-z'
'x+1/2,-y+1/2,z'
loop_
_atom_site_label
_atom_site_type_symbol
_atom_site_fract_x
_atom_site_fract_y
_atom_site_fract_z
Li1 Li 0.000 0.000 0.000
Sn1 Sn 0.000 0.500 0.500
I1 I 0.110 0.500 0.270
I2 I 0.118 0.000 0.789
```

***

The following is a DFT calculation (PBE) of a geometry-optimized LiSnI structure.

Output
Polymorph energy (0 for the lowest one): 0 meV/atom
Total DFT energy (no corrections): -37.156 eV/cell

CIF file:
```
data_LiSnI
_chemical_formula_sum 'Li4 Sn4 I4'
_space_group_name_H-M_alt 'C 1 2/m 1'
_space_group_IT_number 12
_cell_length_a 5.789
_cell_length_b 5.788
_cell_length_c 12.407
_cell_angle_alpha 90.00
_cell_angle_beta 94.46
_cell_angle_gamma 90.00
loop_
_space_group_symop_operation_xyz
'x,y,z'
'-x,-y,-z'
'-x,y,-z'
'x,-y,z'
'x+1/2,y+1/2,z'
'-x+1/2,-y+1/2,-z'
'-x+1/2,y+1/2,-z'
'x+1/2,-y+1/2,z'
loop_
_atom_site_label
_atom_site_type_symbol
_atom_site_fract_x
_atom_site_fract_y
_atom_site_fract_z
Li1 Li 0.234 0.000 0.405
Sn1 Sn 0.245 0.000 0.966
I1 I 0.227 0.500 0.366
```